A geometry-optimized NdSm2Pu3Te6 structure, computed with GGA-PBE.

Lattice parameters (Å, degrees): 4.4297 8.9230 9.9649 103.53 102.84 90.00
With the nearest neighbours (Å) after each atom.
Fractional coordinates of all 12 atoms:
Nd1 0.5000 0.0000 0.0000  6 Te 3.17-3.18
Sm1 0.8334 0.6673 0.6668  6 Te 3.15
Sm2 0.1666 0.3327 0.3332  6 Te 3.15
Pu1 0.5000 0.5000 0.0000  6 Te 3.12-3.14
Pu2 0.8341 0.1670 0.6682  6 Te 3.13-3.14
Pu3 0.1659 0.8330 0.3318  6 Te 3.13-3.14
Te1 0.3316 0.9173 0.6632  3 Pu 3.13, 2 Sm 3.15, 1 Nd 3.18
Te2 0.6663 0.5842 0.3326  3 Pu 3.14, 3 Sm 3.15
Te3 0.6684 0.0827 0.3368  3 Pu 3.13, 2 Sm 3.15, 1 Nd 3.18
Te4 0.9999 0.2543 0.9998  3 Pu 3.12-3.13, 1 Sm 3.15, 2 Nd 3.17
Te5 0.0001 0.7457 0.0002  3 Pu 3.12-3.13, 1 Sm 3.15, 2 Nd 3.17
Te6 0.3337 0.4158 0.6674  3 Pu 3.14, 3 Sm 3.15

Computed properties:
D(E_F) = 33.4 states/eV per cell
Magnetic moment = 1.482 μB per atom
Uncorrected energy = -7.602 eV per atom
Crystal system = monoclinic

A geometry-optimized CrFeCuRh structure, computed with GGA-PBE.

Lattice parameters (Å, degrees): 4.1628 4.1628 4.1628 60.00 60.00 60.00
With the nearest neighbours (Å) after each atom.
Fractional coordinates of all 4 atoms:
Cr1 0.7500 0.7500 0.7500  4 Rh 2.55, 4 Fe 2.55
Rh1 0.5000 0.5000 0.5000  4 Cr 2.55, 4 Cu 2.55
Fe1 0.0000 0.0000 0.0000  4 Cu 2.55, 4 Cr 2.55
Cu1 0.2500 0.2500 0.2500  4 Fe 2.55, 4 Rh 2.55

Computed properties:
D(E_F) = 5.1 states/eV per cell
Magnetic moment = 0.026 μB per atom
DFT formation energy = 53 kJ/mol of formula units
Crystal system = cubic

A geometry-optimized K4Ho3PbO8 structure, computed with GGA-PBE.

Lattice parameters (Å, degrees): 6.9935 7.4656 6.9934 117.93 120.00 90.00
With the nearest neighbours (Å) after each atom.
Fractional coordinates of all 16 atoms:
K1 0.5000 0.0000 0.0000  6 O 2.74
K2 0.5000 0.0000 0.5000  6 O 2.83
K3 0.0000 0.0000 0.0000  6 O 2.83
K4 0.0000 0.0000 0.5000  6 O 2.83
Ho1 0.5000 0.5000 0.0000  6 O 2.31-2.32
Ho2 0.5000 0.5000 0.5000  6 O 2.31-2.32
Ho3 0.0000 0.5000 0.5000  6 O 2.31-2.32
Pb1 0.0000 0.5000 0.0000  6 O 2.42
O1 0.2376 0.6910 0.9534  2 Ho 2.31, 1 Pb 2.42
O2 0.2376 0.6910 0.4752  2 Ho 2.31, 1 Pb 2.42
O3 0.2722 0.3166 0.5444  3 Ho 2.32
O4 0.7158 0.6910 0.9534  2 Ho 2.31, 1 Pb 2.42
O5 0.2842 0.3090 0.0466  2 Ho 2.31, 1 Pb 2.42
O6 0.7278 0.6834 0.4556  3 Ho 2.32
O7 0.7624 0.3090 0.5248  2 Ho 2.31, 1 Pb 2.42
O8 0.7624 0.3090 0.0466  2 Ho 2.31, 1 Pb 2.42

Computed properties:
D(E_F) = 1.8 states/eV per cell
Magnetic moment = 0.000 μB per atom
Uncorrected energy = -6.207 eV per atom
Crystal system = trigonal

A geometry-optimized AcNd2Tl3 structure, computed with GGA-PBE.

Lattice parameters (Å, degrees): 3.9532 3.9532 12.1205 90.00 90.00 90.00
With the nearest neighbours (Å) after each atom.
Fractional coordinates of all 6 atoms:
Ac1 0.5000 0.5000 0.5000  8 Tl 3.57, 4 Ac 3.95
Nd1 0.5000 0.5000 0.8403  8 Tl 3.38-3.40
Nd2 0.5000 0.5000 0.1597  8 Tl 3.38-3.40
Tl1 0.0000 0.0000 0.0000  8 Nd 3.40
Tl2 0.0000 0.0000 0.6837  4 Nd 3.38, 4 Ac 3.57
Tl3 0.0000 0.0000 0.3163  4 Nd 3.38, 4 Ac 3.57

Computed properties:
D(E_F) = 5.4 states/eV per cell
Magnetic moment = 0.000 μB per atom
DFT formation energy = -216 kJ/mol of formula units
Crystal system = tetragonal

Which value of magnetic moment does entry 1 give?
1.482 μB per atom